Entry 1:
Density functional theory data (PBE-GGA) for crystalline Ba3Nb2P4O18 at its relaxed geometry.

Space group = P-1 (2)
Crystal system = triclinic
DFT total energy = -7.714 eV/atom

Structure (POSCAR):
```
Ba3Nb2P4O18
1.0
4.8735 0.0000 0.0000
1.7850 8.8554 0.0000
1.8989 -0.1991 9.2862
Ba Nb P O
3 2 4 18
direct
0.0000 0.0000 0.0000
0.4492 0.7829 0.4137
0.5508 0.2171 0.5863
0.2432 0.6072 0.7687
0.7568 0.3928 0.2313
0.1924 0.6370 0.1402
0.3060 0.1308 0.2844
0.6940 0.8692 0.7156
0.8076 0.3630 0.8598
0.0030 0.7598 0.2435
0.0390 0.1910 0.2158
0.0671 0.4928 0.1337
0.2155 0.0839 0.4398
0.2304 0.5593 0.5893
0.2645 0.6955 0.9871
0.4555 0.2680 0.2936
0.4758 0.5818 0.1977
0.4916 0.0019 0.1862
0.5084 0.9981 0.8138
0.5242 0.4182 0.8023
0.5445 0.7320 0.7064
0.7355 0.3045 0.0129
0.7696 0.4407 0.4107
0.7845 0.9161 0.5602
0.9329 0.5072 0.8663
0.9610 0.8090 0.7842
0.9970 0.2402 0.7565
```

***

Entry 2:
Density functional theory data (PBE-GGA) for crystalline BaNbTePO8 at its relaxed geometry.

Space group = Pbca (61)
Crystal system = orthorhombic
DFT total energy = -7.284 eV/atom

Structure (POSCAR):
```
BaNbTePO8
1.0
6.6619 0.0000 0.0000
0.0000 7.5343 0.0000
0.0000 0.0000 27.4695
Ba Nb Te P O
8 8 8 8 64
direct
0.0288 0.1402 0.1991
0.0288 0.3598 0.6991
0.4712 0.6402 0.1991
0.4712 0.8598 0.6991
0.5288 0.1402 0.3009
0.5288 0.3598 0.8009
0.9712 0.6402 0.3009
0.9712 0.8598 0.8009
0.2387 0.0899 0.4358
0.2387 0.4101 0.9358
0.2613 0.5899 0.4358
0.2613 0.9101 0.9358
0.7387 0.0899 0.0642
0.7387 0.4101 0.5642
0.7613 0.5899 0.0642
0.7613 0.9101 0.5642
0.2225 0.6386 0.5743
0.2225 0.8614 0.0743
0.2775 0.1386 0.5743
0.2775 0.3614 0.0743
0.7225 0.6386 0.9257
0.7225 0.8614 0.4257
0.7775 0.1386 0.9257
0.7775 0.3614 0.4257
0.0336 0.1769 0.3224
0.0336 0.3231 0.8224
0.4664 0.6769 0.3224
0.4664 0.8231 0.8224
0.5336 0.1769 0.1776
0.5336 0.3231 0.6776
0.9664 0.6769 0.1776
0.9664 0.8231 0.6776
0.0342 0.0507 0.0843
0.0342 0.4493 0.5843
0.0484 0.6652 0.0604
0.0484 0.8348 0.5604
0.0710 0.5216 0.2033
0.0710 0.9784 0.7033
0.1326 0.7070 0.6523
0.1326 0.7930 0.1523
0.1472 0.2075 0.7852
0.1472 0.2925 0.2852
0.1741 0.6512 0.9309
0.1741 0.8488 0.4309
0.1910 0.1097 0.3601
0.1910 0.3903 0.8601
0.2191 0.5912 0.5043
0.2191 0.9088 0.0043
0.2809 0.0912 0.5043
0.2809 0.4088 0.0043
0.3090 0.6097 0.3601
0.3090 0.8903 0.8601
0.3259 0.1512 0.9309
0.3259 0.3488 0.4309
0.3528 0.7075 0.7852
0.3528 0.7925 0.2852
0.3674 0.2070 0.6523
0.3674 0.2930 0.1523
0.4290 0.0216 0.2033
0.4290 0.4784 0.7033
0.4516 0.1652 0.0604
0.4516 0.3348 0.5604
0.4658 0.5507 0.0843
0.4658 0.9493 0.5843
0.5342 0.0507 0.4157
0.5342 0.4493 0.9157
0.5484 0.6652 0.4396
0.5484 0.8348 0.9396
0.5710 0.5216 0.2967
0.5710 0.9784 0.7967
0.6326 0.7070 0.8477
0.6326 0.7930 0.3477
0.6472 0.2075 0.7148
0.6472 0.2925 0.2148
0.6741 0.6512 0.5691
0.6741 0.8488 0.0691
0.6910 0.1097 0.1399
0.6910 0.3903 0.6399
0.7191 0.5912 0.9957
0.7191 0.9088 0.4957
0.7809 0.0912 0.9957
0.7809 0.4088 0.4957
0.8090 0.6097 0.1399
0.8090 0.8903 0.6399
0.8259 0.1512 0.5691
0.8259 0.3488 0.0691
0.8528 0.7075 0.7148
0.8528 0.7925 0.2148
0.8674 0.2070 0.8477
0.8674 0.2930 0.3477
0.9290 0.0216 0.2967
0.9290 0.4784 0.7967
0.9516 0.1652 0.4396
0.9516 0.3348 0.9396
0.9658 0.5507 0.4157
0.9658 0.9493 0.9157
```

***

Computed values of total moment (unit: μB per cell) for the preceding records, in sequence: 0.004; 0.000.